Here is crystalline Pr6Ge2PtSe3 at its relaxed geometry from the Alexandria database. Energies are from PBE-GGA.

POSCAR file:
```
Pr6Ge2PtSe3
1.0
4.281 0.000 0.000
0.000 8.674 0.225
-2.141 -2.590 9.069
Pr Ge Pt Se
6 2 1 3
Direct
0.335 0.910 0.669
0.669 0.579 0.338
0.665 0.090 0.331
0.002 0.245 0.004
0.998 0.755 0.996
0.331 0.421 0.662
0.835 0.668 0.669
0.165 0.332 0.331
0.500 0.000 0.000
0.500 0.500 0.000
0.832 0.166 0.664
0.168 0.834 0.336
```

total moment = 0.0 μB/f.u.
energy = -5.921 eV per atom
space-group type = No. 12
V = 28.27 Å³ per atom
formation energy (no corrections) = -1387 meV/atom
theoretical density = 6.96 g/cm3